DFT (PBE with a Hubbard U) results for LaTl2NiO after structural relaxation.

As for the total magnetization: 0.00 μB per formula unit. Its raw total energy is -3.667 eV per atom. Its mass density is 8.5 g/cm3. The volume comes out at 122 Å³/f.u.

The space group is P4/mmm (No. 123) and the conventional cell measures 5.172, 5.172 and 4.563 Å, with angles of 90.00, 90.00 and 90.00 degrees. The distinct sites, in fractional coordinates, are La at (0.000, 0.000, 0.000), Tl at (0.000, 0.500, 0.500), Ni at (0.500, 0.500, 0.000) and O at (0.000, 0.000, 0.500).